1.
Compound: BeHg2Cl
Source: Alexandria via LeMat-Bulk
Functional: SCAN
Structure: PBEsol geometry

CIF file:
```
data_BeHg2Cl
_chemical_formula_sum 'Be1 Hg2 Cl1'
_space_group_name_H-M_alt 'P 1'
_space_group_IT_number 1
_cell_length_a 3.837
_cell_length_b 3.837
_cell_length_c 6.276
_cell_angle_alpha 107.80
_cell_angle_beta 107.80
_cell_angle_gamma 90.00
loop_
_space_group_symop_operation_xyz
'x,y,z'
loop_
_atom_site_label
_atom_site_fract_x
_atom_site_fract_y
_atom_site_fract_z
_atom_site_occupancy
Be1 0.500 0.500 0.000 1
Hg1 0.000 0.000 0.000 1
Hg2 0.750 0.250 0.500 1
Cl1 0.250 0.750 0.500 1
```

## Properties
SG = I-4m2 (119)
calculated density = 8.88 g/cm3
formation energy without anion corrections = 140.5 kJ/mol of formula units

2.
Compound: Cs2CuBiCl6
Source: Alexandria via LeMat-Bulk
Functional: SCAN
Structure: PBEsol geometry

CIF file:
```
data_Cs2CuBiCl6
_chemical_formula_sum 'Cs2 Cu1 Bi1 Cl6'
_space_group_name_H-M_alt 'P 1'
_space_group_IT_number 1
_cell_length_a 7.322
_cell_length_b 7.322
_cell_length_c 7.322
_cell_angle_alpha 60.00
_cell_angle_beta 60.00
_cell_angle_gamma 60.00
loop_
_space_group_symop_operation_xyz
'x,y,z'
loop_
_atom_site_label
_atom_site_fract_x
_atom_site_fract_y
_atom_site_fract_z
_atom_site_occupancy
Cs1 0.750 0.750 0.750 1
Cs2 0.250 0.250 0.250 1
Cu1 0.500 0.500 0.500 1
Bi1 0.000 0.000 0.000 1
Cl1 0.738 0.262 0.262 1
Cl2 0.738 0.738 0.262 1
Cl3 0.262 0.738 0.738 1
Cl4 0.738 0.262 0.738 1
Cl5 0.262 0.738 0.262 1
Cl6 0.262 0.262 0.738 1
```

## Properties
SG = Fm-3m (225)
calculated density = 4.49 g/cm3
formation energy without anion corrections = -1396.2 kJ/mol of formula units

3.
Compound: LiCdRu2
Source: Alexandria via LeMat-Bulk
Functional: SCAN
Structure: PBEsol geometry

CIF file:
```
data_LiCdRu2
_chemical_formula_sum 'Li1 Cd1 Ru2'
_space_group_name_H-M_alt 'P 1'
_space_group_IT_number 1
_cell_length_a 2.844
_cell_length_b 4.372
_cell_length_c 4.656
_cell_angle_alpha 90.00
_cell_angle_beta 90.00
_cell_angle_gamma 90.00
loop_
_space_group_symop_operation_xyz
'x,y,z'
loop_
_atom_site_label
_atom_site_fract_x
_atom_site_fract_y
_atom_site_fract_z
_atom_site_occupancy
Cd1 0.500 0.000 0.500 1
Li1 0.000 0.500 0.500 1
Ru1 0.000 0.000 0.000 1
Ru2 0.500 0.500 0.000 1
```

## Properties
SG = Pmmm (47)
calculated density = 9.22 g/cm3
formation energy = 0.274 eV per atom

4.
Compound: K2ZnRh
Source: Alexandria via LeMat-Bulk
Functional: SCAN
Structure: PBEsol geometry

CIF file:
```
data_K2ZnRh
_chemical_formula_sum 'K2 Zn1 Rh1'
_space_group_name_H-M_alt 'P 1'
_space_group_IT_number 1
_cell_length_a 4.258
_cell_length_b 5.529
_cell_length_c 5.863
_cell_angle_alpha 118.13
_cell_angle_beta 111.29
_cell_angle_gamma 90.00
loop_
_space_group_symop_operation_xyz
'x,y,z'
loop_
_atom_site_label
_atom_site_fract_x
_atom_site_fract_y
_atom_site_fract_z
_atom_site_occupancy
K1 0.972 0.972 0.944 1
K2 0.776 0.276 0.551 1
Rh1 0.572 0.572 0.144 1
Zn1 0.181 0.681 0.361 1
```

## Properties
SG = Imm2 (44)
calculated density = 3.69 g/cm3
formation energy = 0.237 eV per atom